1.
# YHfNp2P4

A relaxed structure of YHfNp2P4 (PBE, Alexandria via LeMat-Bulk).

Calculated values
energy relative to the elements = -9.24 eV per formula unit
magnetization = 0.1 μB/cell
E = -9.1467 eV per atom

a b c (Å): 3.8889 6.7651 6.7401
angles (deg): 109.36 90.00 90.00
With the nearest neighbours (Å) after each atom.
Fractional positions:
Y  0.5000  0.5000  0.0000  6 P 2.77-2.78
Hf  0.0000  0.0000  0.0000  6 P 2.68-2.70
Np  0.5000  0.0000  0.5000  6 P 2.74
Np  0.0000  0.5000  0.5000  6 P 2.82-2.83
P  0.5000  0.2379  0.2405  2 Hf 2.70, 3 Np 2.74-2.82, 1 Y 2.77
P  0.5000  0.7621  0.7595  2 Hf 2.70, 3 Np 2.74-2.82, 1 Y 2.77
P  0.0000  0.2399  0.7528  1 Hf 2.68, 3 Np 2.74-2.83, 2 Y 2.78
P  0.0000  0.7601  0.2472  1 Hf 2.68, 3 Np 2.74-2.83, 2 Y 2.78


2.
# HfZrNp2P4

A relaxed structure of HfZrNp2P4 (PBE, Alexandria via LeMat-Bulk).

Calculated values
energy relative to the elements = -9.13 eV per formula unit
magnetization = 0.1 μB/cell
E = -9.3938 eV per atom

a b c (Å): 3.8190 6.6596 6.6110
angles (deg): 109.30 90.00 90.00
With the nearest neighbours (Å) after each atom.
Fractional positions:
Hf  0.5000  0.5000  0.0000  6 P 2.65
Zr  0.0000  0.0000  0.0000  6 P 2.67
Np  0.5000  0.0000  0.5000  6 P 2.76
Np  0.0000  0.5000  0.5000  6 P 2.74-2.75
P  0.5000  0.2486  0.2380  1 Hf 2.65, 2 Zr 2.67, 3 Np 2.74-2.76
P  0.5000  0.7514  0.7620  1 Hf 2.65, 2 Zr 2.67, 3 Np 2.74-2.76
P  0.0000  0.2563  0.7639  2 Hf 2.65, 1 Zr 2.67, 3 Np 2.75-2.76
P  0.0000  0.7437  0.2361  2 Hf 2.65, 1 Zr 2.67, 3 Np 2.75-2.76


3.
# HfNpPa2

A relaxed structure of HfNpPa2 (PBE, Alexandria via LeMat-Bulk).

Calculated values
energy relative to the elements = 3.12 eV per formula unit
magnetization = 0.0 μB/cell
relative energy among the computed polymorphs = 54.88 kJ/mol of atoms
E = -9.6917 eV per atom

a b c (Å): 3.5148 3.5148 9.5588
angles (deg): 79.41 79.41 60.00
With the nearest neighbours (Å) after each atom.
Fractional positions:
Np  0.5000  0.5000  0.5000  6 Pa 2.64
Pa  0.1062  0.1062  0.6813  3 Np 2.64
Pa  0.8938  0.8938  0.3187  3 Np 2.64
Hf  0.0000  0.0000  0.0000  2 Pa 2.98


Question: What is the E in the second record?
Answer: -9.3938 eV per atom


Question: The lowest energy relative to the elements belongs to which entry?
Answer: YHfNp2P4


Question: What is the magnetization in the third record?
Answer: 0.0 μB/cell